No. 1
Here is a geometry-optimized KHfSc structure from the Alexandria database. Energies are from PBE-GGA.

```
6
Lattice="-2.483 -0.965 -3.359 -0.085 -1.535 5.976 -5.866 11.089 1.120" Properties=species:S:1:pos:R:3 pbc="T T T"
Hf -2.948 1.745 -1.620
Hf -2.798 3.741 0.432
Sc -2.872 0.814 1.327
Sc -2.959 3.137 3.461
K -5.686 9.068 6.487
K -6.019 5.970 -0.589
```

## Properties
**Energy of formation**: 0.358 eV/atom
**Crystal system**: triclinic
**Density of states at the Fermi level**: 3.371 states/eV/f.u.
**Total DFT energy (no corrections)**: -5.436 eV/atom

---

No. 2
Here is a geometry-optimized KHfSc structure from the Alexandria database. Energies are from PBE-GGA.

```
3
Lattice="-2.179 -3.289 -3.766 -4.232 1.704 -2.989 0.672 1.101 -5.300" Properties=species:S:1:pos:R:3 pbc="T T T"
Hf -4.304 -0.363 -9.041
Sc 0.000 0.000 0.000
K -1.435 -0.121 -3.014
```

## Properties
**Energy of formation**: 1.634 eV/atom
**Crystal system**: cubic
**Density of states at the Fermi level**: 5.505 states/eV/f.u.
**Total DFT energy (no corrections)**: -4.160 eV/atom

---

No. 3
Here is a geometry-optimized KHfSc structure from the Alexandria database. Energies are from PBE-GGA.

```
6
Lattice="3.878 0.000 0.000 0.000 3.878 0.000 0.000 0.000 14.559" Properties=species:S:1:pos:R:3 pbc="T T T"
Hf 1.939 0.000 4.878
Hf 0.000 1.939 9.681
Sc 1.939 1.939 7.280
Sc 0.000 0.000 7.280
K 1.939 0.000 12.575
K 0.000 1.939 1.984
```

## Properties
**Energy of formation**: 0.899 eV/atom
**Crystal system**: tetragonal
**Density of states at the Fermi level**: 3.462 states/eV/f.u.
**Total DFT energy (no corrections)**: -4.896 eV/atom

---

Question: The lowest density of states at the Fermi level belongs to which entry?
Answer: number 1